(1)
This record from the Alexandria database describes a relaxed Y8ErCd2 crystal. The functional is PBE-GGA.

## Properties
total energy: -5.261 eV per atom
size of the total moment: 0.0 Bohr magnetons per cell
energy relative to the elements: 0.02 eV per atom
symmetry: C2/m (12)
volume: 31.40 Å³ per atom

Cell lengths 5.5868, 8.7189, 8.7189 Å; angles 118.78, 100.94, 100.94 degrees
Element x y z (fractional)
Y: 0.5000 0.2216 0.7784
Y: 0.1110 0.0917 0.3195
Y: 0.8890 0.9083 0.6805
Y: 0.5000 0.7784 0.2216
Y: 0.2991 0.6024 0.6024
Y: 0.7009 0.3976 0.3976
Y: 0.8890 0.6805 0.9083
Y: 0.1110 0.3195 0.0917
Cd: 0.0000 0.3067 0.6933
Cd: 0.0000 0.6933 0.3067
Er: 0.5000 0.0000 0.0000


(2)
This record from the Alexandria database describes a relaxed Zr3ScGa2 crystal. The functional is PBE-GGA.

## Properties
total energy: -6.661 eV per atom
size of the total moment: 0.0 Bohr magnetons per cell
energy relative to the elements: -0.32 eV per atom
symmetry: Cmmm (65)
volume: 20.27 Å³ per atom

Cell lengths 4.8798, 6.5694, 8.6217 Å; angles 112.39, 106.44, 90.00 degrees
Element x y z (fractional)
Zr: 0.8205 0.5705 0.6409
Zr: 0.5000 0.7500 0.0000
Zr: 0.1795 0.9295 0.3591
Zr: 0.5000 0.2500 0.0000
Zr: 0.1795 0.4295 0.3591
Zr: 0.8205 0.0705 0.6409
Ga: 0.6547 0.1547 0.3094
Ga: 0.3453 0.3453 0.6906
Ga: 0.6547 0.6547 0.3094
Ga: 0.3453 0.8453 0.6906
Sc: 0.0000 0.0000 0.0000
Sc: 0.0000 0.5000 0.0000


(3)
This record from the Alexandria database describes a relaxed AcNbRuO6 crystal. The functional is PBE-GGA.

## Properties
total energy: -7.951 eV per atom
size of the total moment: 4.1 Bohr magnetons per cell
raw formation energy: -2.039 eV/atom
symmetry: P-31c (163)
volume: 13.14 Å³ per atom

Cell lengths 5.6769, 5.6769, 8.4775 Å; angles 90.00, 90.00, 120.00 degrees
Site moments in Bohr magnetons follow the coordinates.
Element x y z (fractional)
O: 0.9245 0.6535 0.3843  0.10
O: 0.3465 0.2710 0.3843  0.10
O: 0.7290 0.0755 0.3843  0.10
O: 0.0755 0.3465 0.6157  0.10
O: 0.0755 0.7290 0.8843  0.10
O: 0.6535 0.9245 0.8843  0.10
O: 0.9245 0.2710 0.1157  0.10
O: 0.2710 0.9245 0.6157  0.10
O: 0.7290 0.6535 0.1157  0.10
O: 0.2710 0.3465 0.8843  0.10
O: 0.3465 0.0755 0.1157  0.10
O: 0.6535 0.7290 0.6157  0.10
Nb: 0.6667 0.3333 0.2500  -0.06
Nb: 0.3333 0.6667 0.7500  -0.06
Ac: 0.6667 0.3333 0.7500  0.01
Ac: 0.3333 0.6667 0.2500  0.01
Ru: 0.0000 0.0000 0.0000  1.33
Ru: 0.0000 0.0000 0.5000  1.33


(4)
This record from the Alexandria database describes a relaxed OsRh2Au crystal. The functional is PBE-GGA.

## Properties
total energy: -6.967 eV per atom
size of the total moment: 0.0 Bohr magnetons per cell
energy relative to the elements: 0.34 eV per atom
symmetry: I-4m2 (119)
volume: 15.01 Å³ per atom

Cell lengths 4.8312, 4.8312, 4.8312 Å; angles 132.56, 132.56, 69.34 degrees
Element x y z (fractional)
Au: 0.5000 0.5000 0.0000
Rh: 0.2500 0.7500 0.5000
Rh: 0.0000 0.0000 0.0000
Os: 0.7500 0.2500 0.5000


(5)
This record from the Alexandria database describes a relaxed SrCa3 crystal. The functional is PBE-GGA.

## Properties
total energy: -1.908 eV per atom
size of the total moment: 0.0 Bohr magnetons per cell
energy relative to the elements: 0.01 eV per atom
symmetry: Cmcm (63)
volume: 45.16 Å³ per atom

Cell lengths 7.9516, 7.9516, 6.5956 Å; angles 90.00, 90.00, 119.98 degrees
Element x y z (fractional)
Ca: 0.8354 0.1646 0.2500
Ca: 0.1643 0.3289 0.7500
Ca: 0.8357 0.6711 0.2500
Ca: 0.3289 0.1643 0.2500
Ca: 0.1646 0.8354 0.7500
Ca: 0.6711 0.8357 0.7500
Sr: 0.3336 0.6664 0.2500
Sr: 0.6664 0.3336 0.7500


(6)
This record from the Alexandria database describes a relaxed AcLaPb6 crystal. The functional is PBE-GGA.

## Properties
total energy: -4.338 eV per atom
size of the total moment: 0.0 Bohr magnetons per cell
energy relative to the elements: -0.43 eV per atom
symmetry: P4/mmm (123)
volume: 31.48 Å³ per atom

Cell lengths 5.0149, 5.0149, 10.0135 Å; angles 90.00, 90.00, 90.00 degrees
Element x y z (fractional)
Pb: 0.5000 0.5000 0.0000
Pb: 0.0000 0.5000 0.2448
Pb: 0.0000 0.5000 0.7552
Pb: 0.5000 0.5000 0.5000
Pb: 0.5000 0.0000 0.7552
Pb: 0.5000 0.0000 0.2448
Ac: 0.0000 0.0000 0.5000
La: 0.0000 0.0000 0.0000


(7)
This record from the Alexandria database describes a relaxed Ca2MgFeC crystal. The functional is PBE-GGA.

## Properties
total energy: -4.536 eV per atom
size of the total moment: 0.9 Bohr magnetons per cell
energy relative to the elements: 0.12 eV per atom
symmetry: P4/mmm (123)
volume: 20.44 Å³ per atom

Cell lengths 5.2344, 5.2344, 3.7309 Å; angles 90.00, 90.00, 90.00 degrees
Site moments in Bohr magnetons follow the coordinates.
Element x y z (fractional)
Fe: 0.0000 0.0000 0.5000  1.30
Ca: 0.5000 0.0000 0.0000  -0.04
Ca: 0.0000 0.5000 0.0000  -0.04
Mg: 0.5000 0.5000 0.5000  -0.01
C: 0.0000 0.0000 0.0000  -0.08


(8)
This record from the Alexandria database describes a relaxed SnBiF4 crystal. The functional is PBE-GGA.

## Properties
total energy: -4.539 eV per atom
size of the total moment: 2.0 Bohr magnetons per cell
raw formation energy: -1.977 eV/atom
symmetry: I4_1md (109)
volume: 19.64 Å³ per atom

Cell lengths 6.7549, 6.7549, 6.7549 Å; angles 112.29, 112.29, 103.98 degrees
Site moments in Bohr magnetons follow the coordinates.
Element x y z (fractional)
Bi: 0.4958 0.9958 0.5000  0.54
Bi: 0.7458 0.7458 0.0000  0.54
F: 0.1976 0.0084 0.1892  0.03
F: 0.6685 0.4897 0.1788  0.03
F: 0.8192 0.0084 0.8108  0.03
F: 0.2397 0.9185 0.6788  0.03
F: 0.7584 0.4476 0.6892  0.03
F: 0.7584 0.0692 0.3108  0.03
F: 0.3109 0.4897 0.8212  0.03
F: 0.2397 0.5609 0.3212  0.03
Sn: 0.0080 0.5080 0.5000  0.04
Sn: 0.2580 0.2580 0.0000  0.04